Below is a relaxed DyEr2MoO8 crystal, with properties calculated at the PBE with a Hubbard U level.

a = 7.0573 Å, b = 7.1420 Å, c = 6.7666 Å
α = 90.00°, β = 90.00°, γ = 90.00°
Space group Cmmm (No. 65)
Symmetry-distinct sites (fractional):
Dy1 0.0000 0.0000 0.0000
Er1 0.0000 0.5000 0.2512
Mo1 0.0000 0.0000 0.5000
O1 0.0000 0.1843 0.2876
O2 0.1908 0.5000 0.0000
O3 0.2231 0.5000 0.5000

E_tot = -92.9 eV per formula unit